No. 1
Entry from Alexandria: crystalline Li3Ho3ZrSe8 at its relaxed geometry (PBE).

Values from the calculation:
Its mass density is 5.7 g/cm³. Its uncorrected formation energy is -1620 meV/atom. For the total magnetic moment, the calculation gives 0.0 μB per cell.

Cell: 8.0371 8.0371 19.4948 Å, 90.00 90.00 120.00°
Space group R-3m (No. 166, hexagonal axes)
Symmetry-distinct sites (fractional):
Li 0.0000 0.5000 0.0000
Ho 0.0000 0.5000 0.5000
Zr 0.0000 0.0000 0.5000
Se 0.0000 0.0000 0.2512
Se 0.0133 0.5066 0.2482

=====

No. 2
Entry from Alexandria: crystalline LiHoSi4 at its relaxed geometry (PBE).

Values from the calculation:
Its mass density is 4.8 g/cm³. Its uncorrected formation energy is -264 meV/atom. For the total magnetic moment, the calculation gives 0.0 μB per cell. The density of states at the Fermi level comes out at 0.16 states/eV per atom.

Cell: 7.341 7.341 7.341 Å, 90.00 90.00 90.00°
Space group F-43m (No. 216)
Symmetry-distinct sites (fractional):
Li 0.000 0.000 0.000
Ho 0.250 0.250 0.750
Si 0.127 0.127 0.373

=====

No. 3
Entry from Alexandria: crystalline Li3HoSi3 at its relaxed geometry (PBE).

Values from the calculation:
Its mass density is 3.3 g/cm³. Its uncorrected formation energy is 471 meV/atom. For the total magnetic moment, the calculation gives 0.0 μB per cell. The density of states at the Fermi level comes out at 0.89 states/eV per atom.

Cell: 6.492 6.492 6.492 Å, 90.00 90.00 90.00°
Space group Pm-3n (No. 223)
Symmetry-distinct sites (fractional):
Li 0.000 0.250 0.500
Ho 0.000 0.000 0.000
Si 0.000 0.500 0.250

=====

Question: Which of these has the highest mass density?
Answer: Li3Ho3ZrSe8

=====

Question: Look up the mass density of the third one.
Answer: 3.3 g/cm³

=====

Question: Which of these has the lowest mass density?
Answer: Li3HoSi3